Material: La2GdDy
Method: DFT, PBE
State: optimized geometry

Summary:
DOS(E_F) (states/eV per cell): 6.2
Space group: P4/mmm, No. 123
Magnetization (μB per formula unit): 7.4
Energy above the most stable polymorph in this dataset (meV/atom): 0
Calculated formation energy (eV/atom): 0.017

Cell lengths 5.2093, 5.2093, 5.0811 Å; angles 90.00, 90.00, 90.00 degrees
Positions (direct):
La (0.0000, 0.5000, 0.0000)
La (0.5000, 0.0000, 0.0000)
Gd (0.0000, 0.0000, 0.5000)
Dy (0.5000, 0.5000, 0.5000)


Material: La2GdDy
Method: DFT, PBE
State: optimized geometry

Summary:
DOS(E_F) (states/eV per cell): 7.6
Space group: R-3m, No. 166
Magnetization (μB per formula unit): 7.8
Energy above the most stable polymorph in this dataset (meV/atom): 133
Calculated formation energy (eV/atom): 0.150

Cell lengths 12.8352, 12.8352, 12.8352 Å; angles 15.93, 15.93, 15.93 degrees
Positions (direct):
La (0.0877, 0.0877, 0.0877)
La (0.9123, 0.9123, 0.9123)
Gd (0.0000, 0.0000, 0.0000)
Dy (0.5000, 0.5000, 0.5000)


Material: LaGd4Dy
Method: DFT, PBE
State: optimized geometry

Summary:
DOS(E_F) (states/eV per cell): 13.8
Space group: F-43m, No. 216
Magnetization (μB per formula unit): 28.9
Calculated formation energy (eV/atom): 0.251

Cell lengths 6.6358, 6.6358, 6.6358 Å; angles 60.00, 60.00, 60.00 degrees
Positions (direct):
La (0.0000, 0.0000, 0.0000)
Gd (0.3755, 0.3755, 0.3755)
Gd (0.3755, 0.3755, 0.8735)
Gd (0.3755, 0.8735, 0.3755)
Gd (0.8735, 0.3755, 0.3755)
Dy (0.7500, 0.7500, 0.7500)


Material: LiLaGdDy
Method: DFT, PBE
State: optimized geometry

Summary:
DOS(E_F) (states/eV per cell): 4.8
Space group: F-43m, No. 216
Magnetization (μB per formula unit): 7.4
Calculated formation energy (eV/atom): 0.161

Cell lengths 5.5927, 5.5927, 5.5927 Å; angles 60.00, 60.00, 60.00 degrees
Positions (direct):
Li (0.0000, 0.0000, 0.0000)
La (0.7500, 0.7500, 0.7500)
Gd (0.2500, 0.2500, 0.2500)
Dy (0.5000, 0.5000, 0.5000)


Material: LaGdDyLu
Method: DFT, PBE
State: optimized geometry

Summary:
DOS(E_F) (states/eV per cell): 6.9
Space group: F-43m, No. 216
Magnetization (μB per formula unit): 7.5
Calculated formation energy (eV/atom): 0.090

Cell lengths 5.7152, 5.7152, 5.7152 Å; angles 60.00, 60.00, 60.00 degrees
Positions (direct):
La (0.0000, 0.0000, 0.0000)
Gd (0.5000, 0.5000, 0.5000)
Dy (0.7500, 0.7500, 0.7500)
Lu (0.2500, 0.2500, 0.2500)


Material: LaGdDyMg
Method: DFT, PBE
State: optimized geometry

Summary:
DOS(E_F) (states/eV per cell): 5.4
Space group: F-43m, No. 216
Magnetization (μB per formula unit): 7.7
Calculated formation energy (eV/atom): 0.020

Cell lengths 5.6087, 5.6087, 5.6087 Å; angles 60.00, 60.00, 60.00 degrees
Positions (direct):
La (0.0000, 0.0000, 0.0000)
Gd (0.5000, 0.5000, 0.5000)
Dy (0.2500, 0.2500, 0.2500)
Mg (0.7500, 0.7500, 0.7500)